Entry 1:
# ZrCdFeSn | OQMD via LeMat-Bulk | PBE-GGA | optimized geometry
data_ZrCdFeSn
_chemical_formula_sum 'Zr4 Cd4 Fe4 Sn4'
_cell_length_a 6.7349
_cell_length_b 6.7349
_cell_length_c 6.7349
_cell_angle_alpha 90.00
_cell_angle_beta 90.00
_cell_angle_gamma 90.00
_symmetry_space_group_name_H-M 'F -4 3 m'
_symmetry_Int_Tables_number 216
_symmetry_space_group_name_Hall 'F -4 2 3'
loop_
_atom_site_label
_atom_site_fract_x
_atom_site_fract_y
_atom_site_fract_z
Zr1 0.0000 0.0000 0.0000
Cd1 0.2500 0.2500 0.7500
Fe1 0.0000 0.0000 0.5000
Sn1 0.2500 0.2500 0.2500
# total moment	7.99	μB per cell
# ρ	8.223	Mg/m³
# energy relative to the lowest polymorph listed for this composition	11.6	meV/atom

---

Entry 2:
# SrCd2Fe | OQMD via LeMat-Bulk | PBE-GGA | optimized geometry
data_SrCd2Fe
_chemical_formula_sum 'Sr4 Cd8 Fe4'
_cell_length_a 7.2019
_cell_length_b 7.2019
_cell_length_c 7.2019
_cell_angle_alpha 90.00
_cell_angle_beta 90.00
_cell_angle_gamma 90.00
_symmetry_space_group_name_H-M 'F -4 3 m'
_symmetry_Int_Tables_number 216
_symmetry_space_group_name_Hall 'F -4 2 3'
loop_
_atom_site_label
_atom_site_fract_x
_atom_site_fract_y
_atom_site_fract_z
Sr1 0.0000 0.0000 0.0000
Cd1 0.0000 0.0000 0.5000
Cd2 0.2500 0.2500 0.7500
Fe1 0.2500 0.2500 0.2500
# total moment	11.75	μB per cell
# energy	-2.62	eV per atom
# ρ	6.549	Mg/m³

---

Entry 3:
# TbCdFe | OQMD via LeMat-Bulk | PBE-GGA | optimized geometry
data_TbCdFe
_chemical_formula_sum 'Tb4 Cd4 Fe4'
_cell_length_a 6.4900
_cell_length_b 6.4900
_cell_length_c 6.4900
_cell_angle_alpha 90.00
_cell_angle_beta 90.00
_cell_angle_gamma 90.00
_symmetry_space_group_name_H-M 'F -4 3 m'
_symmetry_Int_Tables_number 216
_symmetry_space_group_name_Hall 'F -4 2 3'
loop_
_atom_site_label
_atom_site_fract_x
_atom_site_fract_y
_atom_site_fract_z
Tb1 0.0000 0.0000 0.0000
Cd1 0.0000 0.0000 0.5000
Fe1 0.2500 0.2500 0.7500
# total moment	6.66	μB per cell
# ρ	7.950	Mg/m³
# ΔH_f (0 K)	0.310	eV per atom

---

Entry 4:
# TlCdFeW | OQMD via LeMat-Bulk | PBE-GGA | optimized geometry
data_TlCdFeW
_chemical_formula_sum 'Tl4 Cd4 Fe4 W4'
_cell_length_a 6.5578
_cell_length_b 6.5578
_cell_length_c 6.5578
_cell_angle_alpha 90.00
_cell_angle_beta 90.00
_cell_angle_gamma 90.00
_symmetry_space_group_name_H-M 'F -4 3 m'
_symmetry_Int_Tables_number 216
_symmetry_space_group_name_Hall 'F -4 2 3'
loop_
_atom_site_label
_atom_site_fract_x
_atom_site_fract_y
_atom_site_fract_z
Tl1 0.0000 0.0000 0.0000
Cd1 0.2500 0.2500 0.7500
Fe1 0.2500 0.2500 0.2500
W1 0.0000 0.0000 0.5000
# total moment	3.87	μB per cell
# ρ	13.107	Mg/m³
# energy relative to the lowest polymorph listed for this composition	0.0	meV/atom

---

Entry 5:
# TlZnCdFe | OQMD via LeMat-Bulk | PBE-GGA | optimized geometry
data_TlZnCdFe
_chemical_formula_sum 'Tl4 Zn4 Cd4 Fe4'
_cell_length_a 6.6939
_cell_length_b 6.6939
_cell_length_c 6.6939
_cell_angle_alpha 90.00
_cell_angle_beta 90.00
_cell_angle_gamma 90.00
_symmetry_space_group_name_H-M 'F -4 3 m'
_symmetry_Int_Tables_number 216
_symmetry_space_group_name_Hall 'F -4 2 3'
loop_
_atom_site_label
_atom_site_fract_x
_atom_site_fract_y
_atom_site_fract_z
Tl1 0.0000 0.0000 0.0000
Zn1 0.2500 0.2500 0.7500
Cd1 0.0000 0.0000 0.5000
Fe1 0.2500 0.2500 0.2500
# total moment	9.83	μB per cell
# ρ	9.701	Mg/m³
# energy relative to the lowest polymorph listed for this composition	0.0	meV/atom

---

Entry 6:
# ZnCdFeW | OQMD via LeMat-Bulk | PBE-GGA | optimized geometry
data_ZnCdFeW
_chemical_formula_sum 'Zn4 Cd4 Fe4 W4'
_cell_length_a 6.2301
_cell_length_b 6.2301
_cell_length_c 6.2301
_cell_angle_alpha 90.00
_cell_angle_beta 90.00
_cell_angle_gamma 90.00
_symmetry_space_group_name_H-M 'F -4 3 m'
_symmetry_Int_Tables_number 216
_symmetry_space_group_name_Hall 'F -4 2 3'
loop_
_atom_site_label
_atom_site_fract_x
_atom_site_fract_y
_atom_site_fract_z
Zn1 0.0000 0.0000 0.0000
Cd1 0.2500 0.2500 0.7500
Fe1 0.2500 0.2500 0.2500
W1 0.0000 0.0000 0.5000
# total moment	1.76	μB per cell
# ρ	11.468	Mg/m³
# energy relative to the lowest polymorph listed for this composition	0.0	meV/atom
# ΔH_f (0 K)	0.586	eV per atom

---

Entry 7:
# YCd2Fe | OQMD via LeMat-Bulk | PBE-GGA | optimized geometry
data_YCd2Fe
_chemical_formula_sum 'Y4 Cd8 Fe4'
_cell_length_a 6.8035
_cell_length_b 6.8035
_cell_length_c 6.8035
_cell_angle_alpha 90.00
_cell_angle_beta 90.00
_cell_angle_gamma 90.00
_symmetry_space_group_name_H-M 'F -4 3 m'
_symmetry_Int_Tables_number 216
_symmetry_space_group_name_Hall 'F -4 2 3'
loop_
_atom_site_label
_atom_site_fract_x
_atom_site_fract_y
_atom_site_fract_z
Y1 0.0000 0.0000 0.0000
Cd1 0.0000 0.0000 0.5000
Cd2 0.2500 0.2500 0.7500
Fe1 0.2500 0.2500 0.2500
# total moment	10.09	μB per cell
# ρ	7.795	Mg/m³
# ΔH_f (0 K)	0.125	eV per atom

---

Entry 8:
# YZnCdFe | OQMD via LeMat-Bulk | PBE-GGA | optimized geometry
data_YZnCdFe
_chemical_formula_sum 'Y4 Zn4 Cd4 Fe4'
_cell_length_a 6.7636
_cell_length_b 6.7636
_cell_length_c 6.7636
_cell_angle_alpha 90.00
_cell_angle_beta 90.00
_cell_angle_gamma 90.00
_symmetry_space_group_name_H-M 'F -4 3 m'
_symmetry_Int_Tables_number 216
_symmetry_space_group_name_Hall 'F -4 2 3'
loop_
_atom_site_label
_atom_site_fract_x
_atom_site_fract_y
_atom_site_fract_z
Y1 0.0000 0.0000 0.0000
Zn1 0.2500 0.2500 0.2500
Cd1 0.2500 0.2500 0.7500
Fe1 0.0000 0.0000 0.5000
# total moment	10.69	μB per cell
# ρ	6.925	Mg/m³
# energy relative to the lowest polymorph listed for this composition	0.0	meV/atom
# ΔH_f (0 K)	0.047	eV per atom

---

Entry 9:
# YZnCdFe | OQMD via LeMat-Bulk | PBE-GGA | optimized geometry
data_YZnCdFe
_chemical_formula_sum 'Y4 Zn4 Cd4 Fe4'
_cell_length_a 6.7597
_cell_length_b 6.7597
_cell_length_c 6.7597
_cell_angle_alpha 90.00
_cell_angle_beta 90.00
_cell_angle_gamma 90.00
_symmetry_space_group_name_H-M 'F -4 3 m'
_symmetry_Int_Tables_number 216
_symmetry_space_group_name_Hall 'F -4 2 3'
loop_
_atom_site_label
_atom_site_fract_x
_atom_site_fract_y
_atom_site_fract_z
Y1 0.0000 0.0000 0.0000
Zn1 0.0000 0.0000 0.5000
Cd1 0.2500 0.2500 0.2500
Fe1 0.2500 0.2500 0.7500
# total moment	10.21	μB per cell
# ρ	6.937	Mg/m³
# energy relative to the lowest polymorph listed for this composition	97.5	meV/atom
# ΔH_f (0 K)	0.144	eV per atom

---

Entry 10:
# Zn2CdFe | OQMD via LeMat-Bulk | PBE-GGA | optimized geometry
data_Zn2CdFe
_chemical_formula_sum 'Zn8 Cd4 Fe4'
_cell_length_a 6.2688
_cell_length_b 6.2688
_cell_length_c 6.2688
_cell_angle_alpha 90.00
_cell_angle_beta 90.00
_cell_angle_gamma 90.00
_symmetry_space_group_name_H-M 'F -4 3 m'
_symmetry_Int_Tables_number 216
_symmetry_space_group_name_Hall 'F -4 2 3'
loop_
_atom_site_label
_atom_site_fract_x
_atom_site_fract_y
_atom_site_fract_z
Zn1 0.0000 0.0000 0.0000
Zn2 0.2500 0.2500 0.2500
Cd1 0.2500 0.2500 0.7500
Fe1 0.0000 0.0000 0.5000
# total moment	9.67	μB per cell
# ρ	8.064	Mg/m³
# ΔH_f (0 K)	0.244	eV per atom

---

Entry 11:
# ZrZnCdFe | OQMD via LeMat-Bulk | PBE-GGA | optimized geometry
data_ZrZnCdFe
_chemical_formula_sum 'Zr4 Zn4 Cd4 Fe4'
_cell_length_a 6.5198
_cell_length_b 6.5198
_cell_length_c 6.5198
_cell_angle_alpha 90.00
_cell_angle_beta 90.00
_cell_angle_gamma 90.00
_symmetry_space_group_name_H-M 'F -4 3 m'
_symmetry_Int_Tables_number 216
_symmetry_space_group_name_Hall 'F -4 2 3'
loop_
_atom_site_label
_atom_site_fract_x
_atom_site_fract_y
_atom_site_fract_z
Zr1 0.0000 0.0000 0.0000
Zn1 0.0000 0.0000 0.5000
Cd1 0.2500 0.2500 0.2500
Fe1 0.2500 0.2500 0.7500
# total moment	7.40	μB per cell
# ρ	7.786	Mg/m³
# energy relative to the lowest polymorph listed for this composition	11.6	meV/atom
# ΔH_f (0 K)	0.117	eV per atom

---

Entry 12:
# ZrZnCdFe | OQMD via LeMat-Bulk | PBE-GGA | optimized geometry
data_ZrZnCdFe
_chemical_formula_sum 'Zr4 Zn4 Cd4 Fe4'
_cell_length_a 6.5291
_cell_length_b 6.5291
_cell_length_c 6.5291
_cell_angle_alpha 90.00
_cell_angle_beta 90.00
_cell_angle_gamma 90.00
_symmetry_space_group_name_H-M 'F -4 3 m'
_symmetry_Int_Tables_number 216
_symmetry_space_group_name_Hall 'F -4 2 3'
loop_
_atom_site_label
_atom_site_fract_x
_atom_site_fract_y
_atom_site_fract_z
Zr1 0.0000 0.0000 0.0000
Zn1 0.2500 0.2500 0.2500
Cd1 0.2500 0.2500 0.7500
Fe1 0.0000 0.0000 0.5000
# total moment	9.45	μB per cell
# ρ	7.753	Mg/m³
# energy relative to the lowest polymorph listed for this composition	0.0	meV/atom
# ΔH_f (0 K)	0.106	eV per atom

---

Entry 13:
# ZrCd2Fe | OQMD via LeMat-Bulk | PBE-GGA | optimized geometry
data_ZrCd2Fe
_chemical_formula_sum 'Zr4 Cd8 Fe4'
_cell_length_a 6.6768
_cell_length_b 6.6768
_cell_length_c 6.6768
_cell_angle_alpha 90.00
_cell_angle_beta 90.00
_cell_angle_gamma 90.00
_symmetry_space_group_name_H-M 'F -4 3 m'
_symmetry_Int_Tables_number 216
_symmetry_space_group_name_Hall 'F -4 2 3'
loop_
_atom_site_label
_atom_site_fract_x
_atom_site_fract_y
_atom_site_fract_z
Zr1 0.0000 0.0000 0.0000
Cd1 0.0000 0.0000 0.5000
Cd2 0.2500 0.2500 0.7500
Fe1 0.2500 0.2500 0.2500
# total moment	7.65	μB per cell
# ρ	8.299	Mg/m³
# ΔH_f (0 K)	0.135	eV per atom

---

Entry 14:
# CdGa | OQMD via LeMat-Bulk | PBE-GGA | optimized geometry
data_CdGa
_chemical_formula_sum 'Cd1 Ga1'
_cell_length_a 3.0721
_cell_length_b 3.0721
_cell_length_c 5.1294
_cell_angle_alpha 90.00
_cell_angle_beta 90.00
_cell_angle_gamma 120.00
_symmetry_space_group_name_H-M 'P -6 m 2'
_symmetry_Int_Tables_number 187
_symmetry_space_group_name_Hall 'P -6 2'
loop_
_atom_site_label
_atom_site_fract_x
_atom_site_fract_y
_atom_site_fract_z
Cd1 0.0000 0.0000 0.0000
Ga1 0.6667 0.3333 0.5000
# ρ	7.214	Mg/m³
# energy relative to the lowest polymorph listed for this composition	0.0	meV/atom